Record 1
First-principles (GGA-PBE) data for crystalline LaPRh at its relaxed geometry, as listed in Alexandria via LeMat-Bulk. Values from VASP.

Cell and atoms, written as Quantum ESPRESSO input:
```
&SYSTEM
  ibrav = 0, nat = 9, ntyp = 3
/
ATOMIC_SPECIES
La 138.91 La.upf
P 30.97 P.upf
Rh 102.91 Rh.upf
ATOMIC_POSITIONS crystal
La 0.3110 0.0000 0.0000
La 0.0000 0.3110 0.0000
La 0.6890 0.6890 0.0000
P 0.3237 0.3237 0.5000
P 0.0000 0.6763 0.5000
P 0.6763 0.0000 0.5000
Rh 0.0000 0.0000 0.5000
Rh 0.3333 0.6667 0.0000
Rh 0.6667 0.3333 0.0000
CELL_PARAMETERS angstrom
0.7951 3.7915 -6.5540
-2.9979 3.4802 6.0715
3.6598 1.1836 1.1287
```

Calculated values
formation energy from the elements = -0.492 eV per atom
magnetic moment = 0.00 μB/atom

***

Record 2
First-principles (GGA-PBE) data for crystalline CdPbCl2 at its relaxed geometry, as listed in Alexandria via LeMat-Bulk. Values from VASP.

Cell and atoms, written as Quantum ESPRESSO input:
```
&SYSTEM
  ibrav = 0, nat = 4, ntyp = 3
/
ATOMIC_SPECIES
Pb 207.20 Pb.upf
Cl 35.45 Cl.upf
Cd 112.41 Cd.upf
ATOMIC_POSITIONS crystal
Pb 0.7500 0.7500 0.7500
Cl 0.4674 0.4674 0.5920
Cl 0.0326 0.0326 0.9080
Cd 0.2500 0.2500 0.2500
CELL_PARAMETERS angstrom
-2.9393 -0.8363 -3.0537
0.9668 -2.6761 -3.2508
-3.9141 -8.6526 3.1966
```

Calculated values
energy above the most stable polymorph in this dataset = 0.9 kJ per mole of atoms
magnetic moment = 0.00 μB/atom

***

Record 3
First-principles (GGA-PBE) data for crystalline TlCo2Ru at its relaxed geometry, as listed in Alexandria via LeMat-Bulk. Values from VASP.

Cell and atoms, written as Quantum ESPRESSO input:
```
&SYSTEM
  ibrav = 0, nat = 4, ntyp = 3
/
ATOMIC_SPECIES
Ru 101.07 Ru.upf
Co 58.93 Co.upf
Tl 204.38 Tl.upf
ATOMIC_POSITIONS crystal
Ru 0.5000 0.0000 0.5000
Co 0.5000 0.5000 0.0000
Co 0.0000 0.0000 0.0000
Tl 0.0000 0.5000 0.5000
CELL_PARAMETERS angstrom
3.9709 0.0000 0.0000
0.0000 3.9693 0.0000
0.0000 0.0000 3.7263
```

Calculated values
formation energy from the elements = 0.545 eV per atom
energy above the most stable polymorph in this dataset = 7.4 kJ per mole of atoms
magnetic moment = 1.13 μB/atom

***

Record 4
First-principles (GGA-PBE) data for crystalline LiTl3Ag at its relaxed geometry, as listed in Alexandria via LeMat-Bulk. Values from VASP.

Cell and atoms, written as Quantum ESPRESSO input:
```
&SYSTEM
  ibrav = 0, nat = 5, ntyp = 3
/
ATOMIC_SPECIES
Tl 204.38 Tl.upf
Ag 107.87 Ag.upf
Li 6.94 Li.upf
ATOMIC_POSITIONS crystal
Tl 0.5000 0.0000 0.0000
Tl 0.0000 0.0000 0.5000
Tl 0.0000 0.5000 0.0000
Ag 0.0000 0.0000 0.0000
Li 0.5000 0.5000 0.5000
CELL_PARAMETERS angstrom
5.5387 0.0000 0.0000
0.0000 5.5387 0.0000
0.0000 0.0000 5.5387
```

Calculated values
formation energy from the elements = 0.252 eV per atom
energy above the most stable polymorph in this dataset = 1.2 kJ per mole of atoms
magnetic moment = 0.00 μB/atom

***

Record 5
First-principles (GGA-PBE) data for crystalline Ce2ThS3 at its relaxed geometry, as listed in Alexandria via LeMat-Bulk. Values from VASP.

Cell and atoms, written as Quantum ESPRESSO input:
```
&SYSTEM
  ibrav = 0, nat = 6, ntyp = 3
/
ATOMIC_SPECIES
Ce 140.12 Ce.upf
S 32.06 S.upf
Th 232.04 Th.upf
ATOMIC_POSITIONS crystal
Ce 0.6667 0.3333 0.3347
Ce 0.3333 0.6667 0.6653
S 0.6667 0.3333 0.8308
S 0.3333 0.6667 0.1692
S 0.0000 0.0000 0.5000
Th 0.0000 0.0000 0.0000
CELL_PARAMETERS angstrom
-3.2581 1.9058 -1.3820
-0.2062 -3.8992 0.9546
-2.5263 2.4030 9.2693
```

Calculated values
energy above the most stable polymorph in this dataset = 0.2 kJ per mole of atoms
magnetic moment = 0.20 μB/atom

***

Record 6
First-principles (GGA-PBE) data for crystalline Zn6Ag2Pt at its relaxed geometry, as listed in Alexandria via LeMat-Bulk. Values from VASP.

Cell and atoms, written as Quantum ESPRESSO input:
```
&SYSTEM
  ibrav = 0, nat = 9, ntyp = 3
/
ATOMIC_SPECIES
Zn 65.41 Zn.upf
Pt 195.08 Pt.upf
Ag 107.87 Ag.upf
ATOMIC_POSITIONS crystal
Zn 0.0000 0.7052 0.7052
Zn 0.5000 0.6387 0.0000
Zn 0.0000 0.2948 0.0000
Zn 0.5000 0.0000 0.6387
Zn 0.0000 0.0000 0.2948
Zn 0.5000 0.3613 0.3613
Pt 0.5000 0.0000 0.0000
Ag 0.0000 0.6667 0.3333
Ag 0.0000 0.3334 0.6667
CELL_PARAMETERS angstrom
2.8422 0.0000 0.0000
0.0000 7.5757 0.0000
0.0000 -3.7878 6.5607
```

Calculated values
formation energy from the elements = -0.131 eV per atom
energy above the most stable polymorph in this dataset = 1.5 kJ per mole of atoms
magnetic moment = 0.00 μB/atom

***

Record 7
First-principles (GGA-PBE) data for crystalline Zn2CdAg8 at its relaxed geometry, as listed in Alexandria via LeMat-Bulk. Values from VASP.

Cell and atoms, written as Quantum ESPRESSO input:
```
&SYSTEM
  ibrav = 0, nat = 11, ntyp = 3
/
ATOMIC_SPECIES
Zn 65.41 Zn.upf
Ag 107.87 Ag.upf
Cd 112.41 Cd.upf
ATOMIC_POSITIONS crystal
Zn 0.1928 0.6928 0.3856
Zn 0.8072 0.3072 0.6144
Ag 0.0000 0.3039 0.0000
Ag 0.6575 0.8723 0.3150
Ag 0.3425 0.1277 0.6850
Ag 0.8460 0.8460 0.6920
Ag 0.0000 0.6961 0.0000
Ag 0.3425 0.5573 0.6850
Ag 0.1540 0.1540 0.3080
Ag 0.6575 0.4427 0.3150
Cd 0.5000 0.0000 0.0000
CELL_PARAMETERS angstrom
-3.6805 1.8256 -1.2327
2.0166 -0.6568 -6.9939
-1.9088 -6.2822 3.8581
```

Calculated values
formation energy from the elements = 0.014 eV per atom
energy above the most stable polymorph in this dataset = 3.4 kJ per mole of atoms
magnetic moment = 0.00 μB/atom

***

Record 8
First-principles (GGA-PBE) data for crystalline Sc2MoIr at its relaxed geometry, as listed in Alexandria via LeMat-Bulk. Values from VASP.

Cell and atoms, written as Quantum ESPRESSO input:
```
&SYSTEM
  ibrav = 0, nat = 4, ntyp = 3
/
ATOMIC_SPECIES
Sc 44.96 Sc.upf
Ir 192.22 Ir.upf
Mo 95.94 Mo.upf
ATOMIC_POSITIONS crystal
Sc 0.0861 0.0861 0.0861
Sc 0.9139 0.9139 0.9139
Ir 0.0000 0.0000 0.0000
Mo 0.5000 0.5000 0.5000
CELL_PARAMETERS angstrom
1.7201 0.0000 9.6215
-0.8600 1.4896 9.6215
-0.8600 -1.4896 9.6215
```

Calculated values
formation energy from the elements = 0.259 eV per atom
magnetic moment = 0.08 μB/atom

***

Record 9
First-principles (GGA-PBE) data for crystalline CuHg3Pd6 at its relaxed geometry, as listed in Alexandria via LeMat-Bulk. Values from VASP.

Cell and atoms, written as Quantum ESPRESSO input:
```
&SYSTEM
  ibrav = 0, nat = 20, ntyp = 3
/
ATOMIC_SPECIES
Hg 200.59 Hg.upf
Pd 106.42 Pd.upf
Cu 63.55 Cu.upf
ATOMIC_POSITIONS crystal
Hg 0.4489 0.9392 0.7367
Hg 0.4489 0.2633 0.0608
Hg 0.9489 0.7367 0.9392
Hg 0.5741 0.6074 0.3926
Hg 0.0741 0.3926 0.6074
Hg 0.9489 0.0608 0.2633
Pd 0.3686 0.5451 0.9701
Pd 0.9379 0.0627 0.9373
Pd 0.5331 0.6059 0.7076
Pd 0.6318 0.2826 0.7174
Pd 0.8686 0.9701 0.5451
Pd 0.0331 0.7076 0.6059
Pd 0.0331 0.3941 0.2924
Pd 0.4379 0.9373 0.0627
Pd 0.3686 0.0299 0.4549
Pd 0.8686 0.4549 0.0299
Pd 0.5331 0.2924 0.3941
Pd 0.1318 0.7174 0.2826
Cu 0.6403 0.7797 0.2203
Cu 0.1403 0.2203 0.7797
CELL_PARAMETERS angstrom
4.9553 0.0000 0.0000
0.0000 8.7893 -1.1144
0.0000 -3.0477 8.3190
```

Calculated values
formation energy from the elements = -0.026 eV per atom
energy above the most stable polymorph in this dataset = 9.8 kJ per mole of atoms
magnetic moment = 0.00 μB/atom

***

Record 10
First-principles (GGA-PBE) data for crystalline Tb2CeSmDy4 at its relaxed geometry, as listed in Alexandria via LeMat-Bulk. Values from VASP.

Cell and atoms, written as Quantum ESPRESSO input:
```
&SYSTEM
  ibrav = 0, nat = 8, ntyp = 4
/
ATOMIC_SPECIES
Ce 140.12 Ce.upf
Dy 162.50 Dy.upf
Tb 158.93 Tb.upf
Sm 150.36 Sm.upf
ATOMIC_POSITIONS crystal
Ce 0.0000 0.5000 0.5000
Dy 0.0000 0.2521 0.2512
Dy 0.5000 0.7461 0.2526
Dy 0.0000 0.7479 0.7488
Dy 0.5000 0.2539 0.7474
Tb 0.5000 0.0000 0.5000
Tb 0.0000 0.0000 0.0000
Sm 0.5000 0.5000 0.0000
CELL_PARAMETERS angstrom
-3.3592 -1.1105 -0.3013
1.9155 -4.9496 -3.1137
1.6848 -7.5167 8.9206
```

Calculated values
formation energy from the elements = 0.039 eV per atom
magnetic moment = 0.10 μB/atom

***

Record 11
First-principles (GGA-PBE) data for crystalline K2TaCl6 at its relaxed geometry, as listed in Alexandria via LeMat-Bulk. Values from VASP.

Cell and atoms, written as Quantum ESPRESSO input:
```
&SYSTEM
  ibrav = 0, nat = 9, ntyp = 3
/
ATOMIC_SPECIES
Cl 35.45 Cl.upf
K 39.10 K.upf
Ta 180.95 Ta.upf
ATOMIC_POSITIONS crystal
Cl 0.7604 0.2396 0.7604
Cl 0.7604 0.7604 0.2396
Cl 0.2396 0.7604 0.2396
Cl 0.2396 0.2396 0.7604
Cl 0.2396 0.7604 0.7604
Cl 0.7604 0.2396 0.2396
K 0.2500 0.2500 0.2500
K 0.7500 0.7500 0.7500
Ta 0.0000 0.0000 0.0000
CELL_PARAMETERS angstrom
7.1443 0.0000 0.0000
3.5721 6.1871 0.0000
3.5721 2.0624 5.8333
```

Calculated values
magnetic moment = 0.11 μB/atom
E = -4.39 eV/atom

***

Record 12
First-principles (GGA-PBE) data for crystalline LaSbCl2 at its relaxed geometry, as listed in Alexandria via LeMat-Bulk. Values from VASP.

Cell and atoms, written as Quantum ESPRESSO input:
```
&SYSTEM
  ibrav = 0, nat = 4, ntyp = 3
/
ATOMIC_SPECIES
Cl 35.45 Cl.upf
Sb 121.76 Sb.upf
La 138.91 La.upf
ATOMIC_POSITIONS crystal
Cl 0.8889 0.8889 0.8889
Cl 0.1111 0.1111 0.1111
Sb 0.0000 0.0000 0.0000
La 0.5000 0.5000 0.5000
CELL_PARAMETERS angstrom
2.1056 0.0000 11.6004
-1.0528 1.8235 11.6004
-1.0528 -1.8235 11.6004
```

Calculated values
energy above the most stable polymorph in this dataset = 27.1 kJ per mole of atoms
magnetic moment = 0.00 μB/atom